No. 1
# SCAN CuRe2RhPb, PBEsol geometry
# - Energy: -50.474 eV per atom
# - Formation enthalpy at 0 K: 67.223 kcal/mol of atoms
# - Size of the total moment: 0.85 μB per atom
# - D(E_F): 3.736 states/eV/cell
data_CuRe2RhPb
_chemical_formula_sum 'Cu1 Re2 Rh1 Pb1'
_cell_length_a 4.9421
_cell_length_b 4.9421
_cell_length_c 4.5107
_cell_angle_alpha 90.00
_cell_angle_beta 90.00
_cell_angle_gamma 90.00
_space_group_name_H-M_alt 'P 4/m m m'
_space_group_IT_number 123
_space_group_name_Hall '-P 4 2'
loop_
_atom_site_label
_atom_site_type_symbol
_atom_site_fract_x
_atom_site_fract_y
_atom_site_fract_z
Cu1 Cu 0.0000 0.0000 0.0000
Re1 Re 0.0000 0.5000 0.5000
Rh1 Rh 0.5000 0.5000 0.0000
Pb1 Pb 0.0000 0.0000 0.5000

---

No. 2
# SCAN CuRhPb2, PBEsol geometry
# - Energy: -50.057 eV per atom
# - Formation enthalpy at 0 K: 1.770 kcal/mol of atoms
# - Size of the total moment: 0.00 μB per atom
# - D(E_F): 4.351 states/eV/cell
data_CuRhPb2
_chemical_formula_sum 'Cu2 Rh2 Pb4'
_cell_length_a 4.1298
_cell_length_b 3.6375
_cell_length_c 10.2480
_cell_angle_alpha 90.00
_cell_angle_beta 90.00
_cell_angle_gamma 90.00
_space_group_name_H-M_alt 'A m m 2'
_space_group_IT_number 38
loop_
_space_group_symop_operation_xyz
'x,y,z'
'-x,-y,z'
'-x,y,z'
'x,-y,z'
'x,y+1/2,z+1/2'
'-x,-y+1/2,z+1/2'
'-x,y+1/2,z+1/2'
'x,-y+1/2,z+1/2'
loop_
_atom_site_label
_atom_site_type_symbol
_atom_site_fract_x
_atom_site_fract_y
_atom_site_fract_z
Cu1 Cu 0.0000 0.0000 0.0000
Rh1 Rh 0.5000 0.0000 0.8459
Pb1 Pb 0.0000 0.0000 0.2744
Pb2 Pb 0.5000 0.0000 0.5635

---

No. 3
# SCAN Cu2RuPb, PBEsol geometry
# - Energy: -34.769 eV per atom
# - Formation enthalpy at 0 K: 11.124 kcal/mol of atoms
# - Size of the total moment: 0.00 μB per atom
# - D(E_F): 5.998 states/eV/cell
data_Cu2RuPb
_chemical_formula_sum 'Cu4 Ru2 Pb2'
_cell_length_a 3.1477
_cell_length_b 4.3210
_cell_length_c 8.9190
_cell_angle_alpha 90.00
_cell_angle_beta 90.00
_cell_angle_gamma 90.00
_space_group_name_H-M_alt 'I m m m'
_space_group_IT_number 71
_space_group_name_Hall '-I 2 2'
loop_
_atom_site_label
_atom_site_type_symbol
_atom_site_fract_x
_atom_site_fract_y
_atom_site_fract_z
Cu1 Cu 0.0000 0.0000 0.2421
Ru1 Ru 0.0000 0.5000 0.5000
Pb1 Pb 0.0000 0.5000 0.0000

---

No. 4
# SCAN CuRuPb2, PBEsol geometry
# - Energy: -49.925 eV per atom
# - Formation enthalpy at 0 K: 10.889 kcal/mol of atoms
# - Size of the total moment: 0.00 μB per atom
# - D(E_F): 1.610 states/eV/cell
data_CuRuPb2
_chemical_formula_sum 'Cu1 Ru1 Pb2'
_cell_length_a 3.4130
_cell_length_b 4.0242
_cell_length_c 5.5554
_cell_angle_alpha 90.00
_cell_angle_beta 90.00
_cell_angle_gamma 90.00
_space_group_name_H-M_alt 'P m m 2'
_space_group_IT_number 25
loop_
_space_group_symop_operation_xyz
'x,y,z'
'-x,-y,z'
'-x,y,z'
'x,-y,z'
loop_
_atom_site_label
_atom_site_type_symbol
_atom_site_fract_x
_atom_site_fract_y
_atom_site_fract_z
Cu1 Cu 0.0000 0.0000 0.0000
Ru1 Ru 0.5000 0.5000 0.6986
Pb1 Pb 0.0000 0.0000 0.5305
Pb2 Pb 0.5000 0.5000 0.1786

---

No. 5
# SCAN CuRuPb2, PBEsol geometry
# - Energy: -49.872 eV per atom
# - Formation enthalpy at 0 K: 12.110 kcal/mol of atoms
# - Size of the total moment: 0.19 μB per atom
# - D(E_F): 1.930 states/eV/cell
data_CuRuPb2
_chemical_formula_sum 'Cu1 Ru1 Pb2'
_cell_length_a 3.4259
_cell_length_b 3.4259
_cell_length_c 6.3849
_cell_angle_alpha 90.00
_cell_angle_beta 90.00
_cell_angle_gamma 90.00
_space_group_name_H-M_alt 'P 4/m m m'
_space_group_IT_number 123
_space_group_name_Hall '-P 4 2'
loop_
_atom_site_label
_atom_site_type_symbol
_atom_site_fract_x
_atom_site_fract_y
_atom_site_fract_z
Cu1 Cu 0.0000 0.0000 0.0000
Ru1 Ru 0.0000 0.0000 0.5000
Pb1 Pb 0.5000 0.5000 0.2522

---

No. 6
# SCAN CuPb3S, PBEsol geometry
# - Energy: -50.188 eV per atom
# - Size of the total moment: 0.00 μB per atom
# - Formation energy (no corrections): 0.246 eV/atom
# - D(E_F): 2.326 states/eV/cell
data_CuPb3S
_chemical_formula_sum 'Cu1 Pb3 S1'
_cell_length_a 5.1083
_cell_length_b 5.1083
_cell_length_c 5.1083
_cell_angle_alpha 90.00
_cell_angle_beta 90.00
_cell_angle_gamma 90.00
_space_group_name_H-M_alt 'P m -3 m'
_space_group_IT_number 221
_space_group_name_Hall '-P 4 2 3'
loop_
_atom_site_label
_atom_site_type_symbol
_atom_site_fract_x
_atom_site_fract_y
_atom_site_fract_z
Cu1 Cu 0.0000 0.0000 0.0000
Pb1 Pb 0.0000 0.0000 0.5000
S1 S 0.5000 0.5000 0.5000

---

No. 7
# SCAN CuPbS2, PBEsol geometry
# - Energy: -27.601 eV per atom
# - Size of the total moment: 0.00 μB per atom
# - Formation energy (no corrections): -0.042 eV/atom
# - D(E_F): 8.308 states/eV/cell
data_CuPbS2
_chemical_formula_sum 'Cu3 Pb3 S6'
_cell_length_a 3.4019
_cell_length_b 3.4019
_cell_length_c 24.4237
_cell_angle_alpha 90.00
_cell_angle_beta 90.00
_cell_angle_gamma 120.00
_space_group_name_H-M_alt 'R -3 m'
_space_group_IT_number 166
_space_group_name_Hall '-R 3 2"'
loop_
_atom_site_label
_atom_site_type_symbol
_atom_site_fract_x
_atom_site_fract_y
_atom_site_fract_z
Cu1 Cu 0.0000 0.0000 0.0000
Pb1 Pb 0.0000 0.0000 0.5000
S1 S 0.0000 0.0000 0.3845

---

No. 8
# SCAN CuSbPbS3, PBEsol geometry
# - Energy: -26.561 eV per atom
# - Size of the total moment: 0.00 μB per atom
# - Formation energy (no corrections): -0.374 eV/atom
data_CuSbPbS3
_chemical_formula_sum 'Cu4 Sb4 Pb4 S12'
_cell_length_a 7.7387
_cell_length_b 8.0080
_cell_length_c 8.5764
_cell_angle_alpha 90.00
_cell_angle_beta 90.00
_cell_angle_gamma 90.00
_space_group_name_H-M_alt 'P m n 21'
_space_group_IT_number 31
loop_
_space_group_symop_operation_xyz
'x,y,z'
'-x+1/2,-y,z+1/2'
'-x,y,z'
'x+1/2,-y,z+1/2'
loop_
_atom_site_label
_atom_site_type_symbol
_atom_site_fract_x
_atom_site_fract_y
_atom_site_fract_z
Cu1 Cu 0.2433 0.2173 0.0000
Sb1 Sb 0.0000 0.5736 0.1222
Sb2 Sb 0.0000 0.9899 0.7360
Pb1 Pb 0.0000 0.0664 0.2563
Pb2 Pb 0.0000 0.4251 0.5671
S1 S 0.0000 0.2664 0.8620
S2 S 0.0000 0.7328 0.3716
S3 S 0.2365 0.0696 0.5538
S4 S 0.2383 0.3900 0.2157

---

No. 9
# SCAN Cu2SiPbS4, PBEsol geometry
# - Energy: -19.879 eV per atom
# - Size of the total moment: 0.00 μB per atom
# - Formation energy (no corrections): -0.540 eV/atom
data_Cu2SiPbS4
_chemical_formula_sum 'Cu6 Si3 Pb3 S12'
_cell_length_a 5.9847
_cell_length_b 5.9847
_cell_length_c 14.9849
_cell_angle_alpha 90.00
_cell_angle_beta 90.00
_cell_angle_gamma 120.00
_space_group_name_H-M_alt 'P 32 2 1'
_space_group_IT_number 154
loop_
_space_group_symop_operation_xyz
'x,y,z'
'-y,x-y,z+2/3'
'-x+y,-x,z+1/3'
'y,x,-z'
'x-y,-y,-z+1/3'
'-x,-x+y,-z+2/3'
loop_
_atom_site_label
_atom_site_type_symbol
_atom_site_fract_x
_atom_site_fract_y
_atom_site_fract_z
Cu1 Cu 0.0851 0.6540 0.0886
Si1 Si 0.0000 0.7177 0.8333
Pb1 Pb 0.0000 0.5323 0.3333
S1 S 0.0242 0.5100 0.7214
S2 S 0.0986 0.3285 0.1648

---

No. 10
# SCAN TiCuPbS2, PBEsol geometry
# - Energy: -24.858 eV per atom
# - Size of the total moment: 0.23 μB per atom
# - Formation energy (no corrections): 0.395 eV/atom
# - D(E_F): 3.039 states/eV/cell
data_TiCuPbS2
_chemical_formula_sum 'Ti1 Cu1 Pb1 S2'
_cell_length_a 4.4318
_cell_length_b 4.4318
_cell_length_c 5.1202
_cell_angle_alpha 90.00
_cell_angle_beta 90.00
_cell_angle_gamma 90.00
_space_group_name_H-M_alt 'P 4/m m m'
_space_group_IT_number 123
_space_group_name_Hall '-P 4 2'
loop_
_atom_site_label
_atom_site_type_symbol
_atom_site_fract_x
_atom_site_fract_y
_atom_site_fract_z
Ti1 Ti 0.0000 0.0000 0.0000
Cu1 Cu 0.5000 0.5000 0.5000
Pb1 Pb 0.5000 0.5000 0.0000
S1 S 0.0000 0.5000 0.5000

---

No. 11
# SCAN YCuPbS3, PBEsol geometry
# - Energy: -25.882 eV per atom
# - Size of the total moment: 0.00 μB per atom
# - Formation energy (no corrections): -1.265 eV/atom
# - D(E_F): 0.000 states/eV/cell
data_YCuPbS3
_chemical_formula_sum 'Y4 Cu4 Pb4 S12'
_cell_length_a 10.1359
_cell_length_b 3.8625
_cell_length_c 12.8017
_cell_angle_alpha 90.00
_cell_angle_beta 90.00
_cell_angle_gamma 90.00
_space_group_name_H-M_alt 'P n m a'
_space_group_IT_number 62
loop_
_space_group_symop_operation_xyz
'x,y,z'
'-x,-y,-z'
'-x+1/2,-y,z+1/2'
'x+1/2,y,-z+1/2'
'x+1/2,-y+1/2,-z+1/2'
'-x+1/2,y+1/2,z+1/2'
'-x,y+1/2,-z'
'x,-y+1/2,z'
loop_
_atom_site_label
_atom_site_type_symbol
_atom_site_fract_x
_atom_site_fract_y
_atom_site_fract_z
Y1 Y 0.0200 0.2500 0.2405
Cu1 Cu 0.2327 0.2500 0.7207
Pb1 Pb 0.2198 0.7500 0.5012
S1 S 0.0459 0.2500 0.6170
S2 S 0.0933 0.7500 0.1060
S3 S 0.2344 0.7500 0.8260

---

No. 12
# SCAN YCuPbS3, PBEsol geometry
# - Energy: -25.880 eV per atom
# - Size of the total moment: 0.00 μB per atom
# - Formation energy (no corrections): -1.262 eV/atom
# - D(E_F): 0.000 states/eV/cell
data_YCuPbS3
_chemical_formula_sum 'Y4 Cu4 Pb4 S12'
_cell_length_a 3.8614
_cell_length_b 12.8142
_cell_length_c 10.0851
_cell_angle_alpha 90.00
_cell_angle_beta 90.00
_cell_angle_gamma 90.00
_space_group_name_H-M_alt 'C m c m'
_space_group_IT_number 63
_space_group_name_Hall '-C 2c 2'
loop_
_atom_site_label
_atom_site_type_symbol
_atom_site_fract_x
_atom_site_fract_y
_atom_site_fract_z
Y1 Y 0.0000 0.0000 0.0000
Cu1 Cu 0.0000 0.4691 0.2500
Pb1 Pb 0.0000 0.2462 0.7500
S1 S 0.0000 0.0754 0.2500
S2 S 0.0000 0.3607 0.0678